Here is crystalline PmGa2Au10 at its relaxed geometry from the Alexandria database. Energies are from GGA-PBE.

Computed properties:
Fermi-level density of states ... 18.2 states/eV per cell
Total energy ... -3.594 eV per atom
Energy of formation from the pure elements ... -0.24 eV/atom

Lattice parameters (Å, degrees): 5.691 13.083 13.503 90.00 90.00 90.00
Space group Fmmm (No. 69)
Symmetry-distinct sites (fractional):
Pm  0.000  0.000  0.000 (multiplicity 4)
Ga  0.250  0.000  0.250 (multiplicity 8)
Au  0.000  0.106  0.389 (multiplicity 16)
Au  0.000  0.162  0.172 (multiplicity 16)
Au  0.250  0.250  0.000 (multiplicity 8)